Entry 1:
Compound: Zr3Al
Source: Alexandria via LeMat-Bulk
Functional: PBE
Structure: optimized geometry

a = 6.0435 Å, b = 6.0435 Å, c = 5.3409 Å
α = 97.88°, β = 97.88°, γ = 62.04°
Fractional positions:
Zr1 0.1220 0.6345 0.7105
Zr2 0.3655 0.8780 0.2895
Zr3 0.3685 0.3685 0.1919
Zr4 0.6315 0.6315 0.8081
Zr5 0.6345 0.1220 0.7105
Zr6 0.8780 0.3655 0.2895
Al1 0.1372 0.1372 0.7896
Al2 0.8628 0.8628 0.2104

Values from the calculation:
Formation enthalpy at 0 K ... -236 meV/atom

---

Entry 2:
Compound: Sc2AgSe
Source: Alexandria via LeMat-Bulk
Functional: PBE
Structure: optimized geometry

a = 4.9332 Å, b = 4.9332 Å, c = 4.9332 Å
α = 60.00°, β = 60.00°, γ = 60.00°
Fractional positions:
Sc1 0.0000 0.0000 0.0000
Sc2 0.2500 0.2500 0.2500
Ag1 0.7500 0.7500 0.7500
Se1 0.5000 0.5000 0.5000

Values from the calculation:
VASP energy ... -19.00 eV/cell

---

Entry 3:
Compound: TbHo2Tm2Sc
Source: Alexandria via LeMat-Bulk
Functional: PBE
Structure: optimized geometry

a = 6.8402 Å, b = 9.4919 Å, c = 5.4771 Å
α = 90.00°, β = 90.00°, γ = 90.00°
Fractional positions:
Tb1 0.0000 0.0000 0.0000
Tb2 0.5000 0.5000 0.5000
Ho1 0.2466 0.3336 0.0000
Ho2 0.2534 0.8336 0.5000
Ho3 0.7466 0.1664 0.5000
Ho4 0.7534 0.6664 0.0000
Tm1 0.2486 0.6669 0.0000
Tm2 0.2514 0.1669 0.5000
Tm3 0.7486 0.8331 0.5000
Tm4 0.7514 0.3331 0.0000
Sc1 0.0000 0.5000 0.5000
Sc2 0.5000 0.0000 0.0000

Values from the calculation:
Formation enthalpy at 0 K ... 100 meV/atom

---

Entry 4:
Compound: RbAlTe2
Source: Alexandria via LeMat-Bulk
Functional: PBE
Structure: optimized geometry

a = 10.8198 Å, b = 4.4240 Å, c = 14.3987 Å
α = 90.00°, β = 90.00°, γ = 90.00°
Fractional positions:
Rb1 0.1911 0.2500 0.1739
Rb2 0.3089 0.7500 0.6739
Rb3 0.6911 0.2500 0.3261
Rb4 0.8089 0.7500 0.8261
Al1 0.0169 0.7500 0.4014
Al2 0.4831 0.2500 0.9014
Al3 0.5169 0.7500 0.0986
Al4 0.9831 0.2500 0.5986
Te1 0.0626 0.2500 0.7616
Te2 0.1534 0.2500 0.4594
Te3 0.3466 0.7500 0.9594
Te4 0.4374 0.7500 0.2616
Te5 0.5626 0.2500 0.7384
Te6 0.6534 0.2500 0.0406
Te7 0.8466 0.7500 0.5406
Te8 0.9374 0.7500 0.2384

Values from the calculation:
VASP energy ... -55.22 eV/cell

---

Entry 5:
Compound: KMg2VRh
Source: Alexandria via LeMat-Bulk
Functional: PBE
Structure: optimized geometry

a = 4.9935 Å, b = 4.9935 Å, c = 4.5697 Å
α = 90.00°, β = 90.00°, γ = 90.00°
Fractional positions:
K1 0.0000 0.0000 0.0000
Mg1 0.0000 0.5000 0.0000
Mg2 0.5000 0.0000 0.0000
V1 0.0000 0.0000 0.5000
Rh1 0.5000 0.5000 0.5000

Values from the calculation:
Formation enthalpy at 0 K ... 1964 meV/atom

---

Entry 6:
Compound: BaFe2Se
Source: Alexandria via LeMat-Bulk
Functional: PBE
Structure: optimized geometry

a = 6.2835 Å, b = 6.2835 Å, c = 6.2835 Å
α = 38.14°, β = 38.14°, γ = 38.14°
Fractional positions:
Ba1 0.0000 0.0000 0.0000
Fe1 0.1979 0.1979 0.1979
Fe2 0.5096 0.5096 0.5096
Se1 0.8052 0.8052 0.8052

Values from the calculation:
VASP energy ... -23.00 eV/cell

---

Entry 7:
Compound: Ce5PrIr6
Source: Alexandria via LeMat-Bulk
Functional: PBE
Structure: optimized geometry

a = 7.0322 Å, b = 7.0322 Å, c = 7.0151 Å
α = 99.61°, β = 99.61°, γ = 120.10°
Fractional positions:
Ce1 0.0000 0.0000 0.0000
Ce2 0.1679 0.8321 0.5000
Ce3 0.3354 0.6646 0.0000
Ce4 0.6646 0.3354 0.0000
Ce5 0.8321 0.1679 0.5000
Pr1 0.5000 0.5000 0.5000
Ir1 0.0675 0.4140 0.2445
Ir2 0.2400 0.2400 0.7586
Ir3 0.4140 0.0675 0.2445
Ir4 0.5860 0.9325 0.7555
Ir5 0.7600 0.7600 0.2414
Ir6 0.9325 0.5860 0.7555

Values from the calculation:
Formation enthalpy at 0 K ... -657 meV/atom

---

Entry 8:
Compound: Ba3YC
Source: Alexandria via LeMat-Bulk
Functional: PBE
Structure: optimized geometry

a = 6.7166 Å, b = 6.7166 Å, c = 6.7166 Å
α = 90.00°, β = 90.00°, γ = 90.00°
Fractional positions:
Ba1 0.0000 0.0000 0.5000
Ba2 0.0000 0.5000 0.0000
Ba3 0.5000 0.0000 0.0000
Y1 0.0000 0.0000 0.0000
C1 0.5000 0.5000 0.5000

Values from the calculation:
Formation enthalpy at 0 K ... 1829 meV/atom

---

Entry 9:
Compound: BaLiYPb
Source: Alexandria via LeMat-Bulk
Functional: PBE
Structure: optimized geometry

a = 5.6877 Å, b = 5.6877 Å, c = 5.6877 Å
α = 60.00°, β = 60.00°, γ = 60.00°
Fractional positions:
Ba1 0.0000 0.0000 0.0000
Li1 0.2500 0.2500 0.2500
Y1 0.5000 0.5000 0.5000
Pb1 0.7500 0.7500 0.7500

Values from the calculation:
Formation enthalpy at 0 K ... -221 meV/atom

---

Entry 10:
Compound: Nd6ZnCo2
Source: Alexandria via LeMat-Bulk
Functional: PBE
Structure: optimized geometry

a = 6.3777 Å, b = 6.3777 Å, c = 8.9046 Å
α = 98.30°, β = 98.30°, γ = 43.21°
Fractional positions:
Nd1 0.0904 0.0904 0.3524
Nd2 0.3309 0.3309 0.9046
Nd3 0.3730 0.3730 0.3272
Nd4 0.6270 0.6270 0.6728
Nd5 0.6691 0.6691 0.0954
Nd6 0.9096 0.9096 0.6476
Zn1 0.0000 0.0000 0.0000
Co1 0.2643 0.2643 0.6048
Co2 0.7357 0.7357 0.3952

Values from the calculation:
Formation enthalpy at 0 K ... -36 meV/atom
Distance to the lowest polymorph of the same formula ... 83.0 meV per atom

---

Entry 11:
Compound: CuSbH2Au
Source: Alexandria via LeMat-Bulk
Functional: PBE
Structure: optimized geometry

a = 3.7678 Å, b = 3.7678 Å, c = 5.4131 Å
α = 90.00°, β = 90.00°, γ = 90.00°
Fractional positions:
Cu1 0.0000 0.0000 0.0000
Sb1 0.0000 0.0000 0.5000
H1 0.0000 0.5000 0.5000
H2 0.5000 0.0000 0.5000
Au1 0.5000 0.5000 0.0000

Values from the calculation:
VASP energy ... -16.13 eV/cell

---

Entry 12:
Compound: Nd3ErIn
Source: Alexandria via LeMat-Bulk
Functional: PBE
Structure: optimized geometry

a = 7.9052 Å, b = 7.9052 Å, c = 7.9052 Å
α = 87.70°, β = 115.57°, γ = 127.48°
Fractional positions:
Nd1 0.2459 0.0250 0.2709
Nd2 0.2459 0.4750 0.7208
Nd3 0.7059 0.5244 0.6815
Nd4 0.7541 0.5250 0.2792
Nd5 0.7541 0.9750 0.7291
Nd6 0.8429 0.0244 0.3185
Er1 0.3199 0.8228 0.9971
Er2 0.8257 0.3228 0.0029
In1 0.2311 0.0397 0.6914
In2 0.3483 0.5397 0.3086

Values from the calculation:
Formation enthalpy at 0 K ... 142 meV/atom
Distance to the lowest polymorph of the same formula ... 329.7 meV per atom